Below is an optimized crystal structure of SmPa2P4, with properties calculated at the PBE-GGA level.

The energy of formation from the pure elements is -1.075 eV/atom. For the density of states at the Fermi level, the calculation gives 9.15 states/eV/cell. The density is 7.23 g cm⁻³.

The space group is Cmcm (No. 63) and the conventional cell measures 3.9836, 13.3195 and 12.7421 Å, with angles of 90.00, 90.00 and 90.00 degrees. The distinct sites, in fractional coordinates, are Sm at (0.0000, 0.1144, 0.2500), Pa at (0.0000, 0.3696, 0.0648), P at (0.0000, 0.0000, 0.0000), P at (0.0000, 0.2654, 0.6229) and P at (0.0000, 0.4624, 0.2500).